The following is a GGA-PBE calculation of K2NaS after structural relaxation, from Alexandria.

abc: 11.916 11.916 11.916
angles: 22.92 22.92 22.92
Element x y z (fractional)
K 0.128 0.128 0.128
K 0.872 0.872 0.872
Na 0.000 0.000 0.000
S 0.500 0.500 0.500

## Properties
Raw formation energy   -546 meV/atom
Space group   R-3m